## TbZrS3 (PBE)

Data for an optimized crystal structure of TbZrS3.

Summary:
Density   4.9 g cm⁻³
ΔE_f (raw)   -1.724 eV/atom
Polymorph energy (0 for the lowest one)   34 kJ/mol of formula units
Raw total energy   -6.836 eV/atom

a b c (Å): 6.6254 6.6360 7.1825
angles (deg): 89.13 63.09 60.51
Space group P-1 (No. 2)
Asymmetric unit:
Tb: 0.2023 0.1505 0.4542 x2
Zr: 0.2097 0.6431 0.9808 x2
S: 0.0196 0.5498 0.7557 x2
S: 0.2878 0.9471 0.7736 x2
S: 0.3178 0.7260 0.2630 x2


## RhPb2Br (PBE)

Data for an optimized crystal structure of RhPb2Br.

Summary:
Density   10.2 g cm⁻³
ΔE_f (raw)   -0.149 eV/atom
Polymorph energy (0 for the lowest one)   10 kJ/mol of formula units
Raw total energy   -4.259 eV/atom

a b c (Å): 3.5109 3.4802 7.9858
angles (deg): 90.00 90.71 90.00
Space group P2/m (No. 10)
Asymmetric unit:
Rh: 0.0000 0.0000 0.0000 x1
Pb: 0.4959 0.5000 0.7921 x2
Br: 0.0000 0.0000 0.5000 x1


## TbMgSc2 (PBE)

Data for an optimized crystal structure of TbMgSc2.

Summary:
Density   4.4 g cm⁻³
DFT formation energy   0.043 eV/atom
Polymorph energy (0 for the lowest one)   19 kJ/mol of formula units
Raw total energy   -4.679 eV/atom

a b c (Å): 3.3292 3.3292 32.4464
angles (deg): 90.00 90.00 120.00
Space group R-3m (No. 166, hexagonal axes)
Asymmetric unit:
Tb: 0.0000 0.0000 0.0000 x3
Mg: 0.0000 0.0000 0.5000 x3
Sc: 0.0000 0.0000 0.2474 x6


## ZrInRe (PBE)

Data for an optimized crystal structure of ZrInRe.

Summary:
Density   11.2 g cm⁻³
DFT formation energy   -0.028 eV/atom
Polymorph energy (0 for the lowest one)   33 kJ/mol of formula units
Raw total energy   -7.940 eV/atom

a b c (Å): 3.5033 3.5033 9.4435
angles (deg): 90.00 90.00 90.00
Space group I4mm (No. 107)
Asymmetric unit:
Zr: 0.0000 0.0000 0.0000 x2
In: 0.0000 0.0000 0.3118 x2
Re: 0.0000 0.0000 0.6429 x2


## YTaTl2 (PBE)

Data for an optimized crystal structure of YTaTl2.

Summary:
Density   11.7 g cm⁻³
DFT formation energy   0.262 eV/atom
Raw total energy   -5.500 eV/atom

a b c (Å): 10.2987 3.2173 5.8898
angles (deg): 90.00 98.81 90.00
Space group C2/m (No. 12)
Asymmetric unit:
Y: 0.0000 0.0000 0.0000 x2
Ta: 0.0000 0.5000 0.5000 x2
Tl: 0.2448 0.0000 0.7313 x4


## Fe2AuCl (PBE)

Data for an optimized crystal structure of Fe2AuCl.

Summary:
Density   8.4 g cm⁻³
ΔE_f (raw)   0.478 eV/atom
Polymorph energy (0 for the lowest one)   147 kJ/mol of formula units
Raw total energy   -5.035 eV/atom

a b c (Å): 2.8414 5.7119 8.4212
angles (deg): 90.00 90.00 90.00
Space group Immm (No. 71)
Asymmetric unit:
Fe: 0.0000 0.0000 0.2315 x4
Au: 0.0000 0.5000 0.0000 x2
Cl: 0.0000 0.5000 0.5000 x2


## BeAg4P (PBE)

Data for an optimized crystal structure of BeAg4P.

Summary:
Density   7.0 g cm⁻³
DFT formation energy   0.674 eV/atom
Raw total energy   -2.750 eV/atom

a b c (Å): 7.6315 7.6315 7.6315
angles (deg): 90.00 90.00 90.00
Space group F-43m (No. 216)
Asymmetric unit:
Be: 0.0000 0.0000 0.0000 x4
Ag: 0.1253 0.1253 0.6253 x16
P: 0.2500 0.2500 0.2500 x4


## TaAgRu2 (PBE)

Data for an optimized crystal structure of TaAgRu2.

Summary:
Density   11.6 g cm⁻³
DFT formation energy   0.636 eV/atom
Polymorph energy (0 for the lowest one)   219 kJ/mol of formula units
Raw total energy   -7.678 eV/atom

a b c (Å): 7.1219 7.1219 5.5438
angles (deg): 90.00 90.00 90.00
Space group I-42d (No. 122)
Asymmetric unit:
Ta: 0.0000 0.0000 0.0000 x4
Ag: 0.0000 0.0000 0.5000 x4
Ru: 0.2214 0.2500 0.1250 x8


## YHoTeSe2 (PBE)

Data for an optimized crystal structure of YHoTeSe2.

Summary:
Density   6.0 g cm⁻³
ΔE_f (raw)   -1.317 eV/atom
Raw total energy   -5.548 eV/atom

a b c (Å): 4.6272 4.6272 14.0147
angles (deg): 90.00 90.00 90.00
Space group I4mm (No. 107)
Asymmetric unit:
Y: 0.0000 0.0000 0.0000 x2
Ho: 0.0000 0.0000 0.7201 x2
Te: 0.0000 0.0000 0.3610 x2
Se: 0.0000 0.5000 0.1115 x4


## TbSmCuAu (PBE)

Data for an optimized crystal structure of TbSmCuAu.

Summary:
Density   9.9 g cm⁻³
DFT formation energy   -0.533 eV/atom
Polymorph energy (0 for the lowest one)   0 kJ/mol of formula units
Raw total energy   -4.714 eV/atom

a b c (Å): 4.5950 3.8229 10.8744
angles (deg): 90.00 90.00 90.00
Space group Amm2 (No. 38)
Asymmetric unit:
Tb: 0.0000 0.0000 0.0000 x2
Sm: 0.5000 0.0000 0.7212 x2
Cu: 0.0000 0.0000 0.2827 x2
Au: 0.5000 0.0000 0.4394 x2


## Li2PmPd4 (PBE)

Data for an optimized crystal structure of Li2PmPd4.

Summary:
Density   8.0 g cm⁻³
DFT formation energy   -0.536 eV/atom
Raw total energy   -4.729 eV/atom

a b c (Å): 5.1905 6.6560 6.9889
angles (deg): 90.00 90.00 90.00
Space group Immm (No. 71)
Asymmetric unit:
Li: 0.2466 0.0000 0.0000 x4
Pm: 0.0000 0.5000 0.0000 x2
Pd: 0.0000 0.2030 0.3025 x8


## GdGa2 (PBE)

Data for an optimized crystal structure of GdGa2.

Summary:
Density   7.6 g cm⁻³
DFT formation energy   -0.654 eV/atom
Raw total energy   -7.365 eV/atom

a b c (Å): 4.2406 4.2406 4.1660
angles (deg): 90.00 90.00 120.00
Space group P6/mmm (No. 191)
Asymmetric unit:
Gd: 0.0000 0.0000 0.0000 x1
Ga: 0.3333 0.6667 0.5000 x2


## Ac2TbSm8 (PBE)

Data for an optimized crystal structure of Ac2TbSm8.

Summary:
Density   7.4 g cm⁻³
DFT formation energy   0.198 eV/atom
Polymorph energy (0 for the lowest one)   49 kJ/mol of formula units
Raw total energy   -4.402 eV/atom

a b c (Å): 19.8572 7.1332 5.7383
angles (deg): 90.00 93.21 90.00
Space group C2/m (No. 12)
Asymmetric unit:
Ac: 0.2188 0.0000 0.2573 x4
Tb: 0.0000 0.5000 0.0000 x2
Sm: 0.0442 0.0000 0.2342 x4
Sm: 0.1221 0.2361 0.7318 x8
Sm: 0.1758 0.5000 0.2249 x4


## TlPdRhF6 (PBE)

Data for an optimized crystal structure of TlPdRhF6.

Summary:
Density   5.3 g cm⁻³
ΔE_f (raw)   -1.484 eV/atom
Raw total energy   -4.389 eV/atom

a b c (Å): 5.6987 9.8836 5.8373
angles (deg): 90.00 90.09 90.00
Space group C2 (No. 5)
Asymmetric unit:
Tl: 0.0000 0.0000 0.0000 x2
Pd: 0.0000 0.3334 0.5000 x2
Rh: 0.0000 0.6666 0.5000 x2
F: 0.1365 0.5142 0.3133 x4
F: 0.1598 0.8114 0.3135 x4
F: 0.2021 0.1744 0.3138 x4


## Sr3H2N (PBE)

Data for an optimized crystal structure of Sr3H2N.

Summary:
Density   3.6 g cm⁻³
Raw total energy   -3.837 eV/atom

a b c (Å): 12.2503 5.3138 3.9416
angles (deg): 90.00 90.19 90.00
Space group C2/m (No. 12)
Asymmetric unit:
Sr: 0.0000 0.0000 0.0000 x2
Sr: 0.1408 0.5000 0.5020 x4
H: 0.1362 0.0000 0.5011 x4
N: 0.0000 0.5000 0.0000 x2


## Rb3Nd3TmSe8 (PBE)

Data for an optimized crystal structure of Rb3Nd3TmSe8.

Summary:
Density   4.7 g cm⁻³
ΔE_f (raw)   -1.649 eV/atom
Raw total energy   -4.952 eV/atom

a b c (Å): 14.8626 8.5726 9.5750
angles (deg): 90.00 121.23 90.00
Space group C2/m (No. 12)
Asymmetric unit:
Rb: 0.0000 0.0000 0.0000 x2
Rb: 0.2500 0.2500 0.0000 x4
Nd: 0.0000 0.5000 0.5000 x2
Nd: 0.2500 0.2500 0.5000 x4
Tm: 0.0000 0.0000 0.5000 x2
Se: 0.0159 0.2413 0.3066 x8
Se: 0.2255 0.0000 0.6934 x4
Se: 0.2340 0.5000 0.7018 x4


## Tb2CdGe (PBE)

Data for an optimized crystal structure of Tb2CdGe.

Summary:
Density   7.4 g cm⁻³
DFT formation energy   -0.441 eV/atom
Raw total energy   -4.139 eV/atom

a b c (Å): 4.3612 4.3612 20.4915
angles (deg): 90.00 90.00 120.00
Space group R-3m (No. 166, hexagonal axes)
Asymmetric unit:
Tb: 0.0000 0.0000 0.2359 x6
Cd: 0.0000 0.0000 0.0000 x3
Ge: 0.0000 0.0000 0.5000 x3


## KMgPb2 (PBE)

Data for an optimized crystal structure of KMgPb2.

Summary:
Density   6.4 g cm⁻³
DFT formation energy   0.011 eV/atom
Raw total energy   -2.516 eV/atom

a b c (Å): 6.2589 3.3674 6.2838
angles (deg): 90.00 111.68 90.00
Space group P2/m (No. 10)
Asymmetric unit:
K: 0.0000 0.0000 0.0000 x1
Mg: 0.5000 0.0000 0.5000 x1
Pb: 0.0000 0.5000 0.5000 x1
Pb: 0.5000 0.5000 0.0000 x1


## LiCaRh (PBE)

Data for an optimized crystal structure of LiCaRh.

Summary:
Density   4.4 g cm⁻³
DFT formation energy   -0.265 eV/atom
Polymorph energy (0 for the lowest one)   0 kJ/mol of formula units
Raw total energy   -4.021 eV/atom

a b c (Å): 5.1868 5.6114 7.7134
angles (deg): 90.00 90.00 90.00
Space group Imma (No. 74)
Asymmetric unit:
Li: 0.2500 0.2500 0.2500 x4
Ca: 0.0000 0.2500 0.6306 x4
Rh: 0.0000 0.0000 0.0000 x4


## YMoPb (PBE)

Data for an optimized crystal structure of YMoPb.

Summary:
Density   9.4 g cm⁻³
DFT formation energy   0.207 eV/atom
Polymorph energy (0 for the lowest one)   0 kJ/mol of formula units
Raw total energy   -6.794 eV/atom

a b c (Å): 3.6911 3.6911 10.1462
angles (deg): 90.00 90.00 90.00
Space group I4mm (No. 107)
Asymmetric unit:
Y: 0.0000 0.0000 0.0000 x2
Mo: 0.0000 0.0000 0.6720 x2
Pb: 0.0000 0.0000 0.3089 x2


## TbDy3Al (PBE)

Data for an optimized crystal structure of TbDy3Al.

Summary:
Density   7.8 g cm⁻³
DFT formation energy   -0.143 eV/atom
Polymorph energy (0 for the lowest one)   0 kJ/mol of formula units
Raw total energy   -4.579 eV/atom

a b c (Å): 12.9046 3.5934 12.4394
angles (deg): 90.00 95.10 90.00
Space group C2/m (No. 12)
Asymmetric unit:
Tb: 0.2230 0.0000 0.2477 x4
Dy: 0.0334 0.0000 0.6949 x4
Dy: 0.1355 0.5000 0.4812 x4
Dy: 0.1414 0.0000 0.9494 x4
Al: 0.0501 0.5000 0.1206 x4


## CsGe2Pt2 (PBE)

Data for an optimized crystal structure of CsGe2Pt2.

Summary:
Density   7.9 g cm⁻³
DFT formation energy   -0.327 eV/atom
Polymorph energy (0 for the lowest one)   75 kJ/mol of formula units
Raw total energy   -4.761 eV/atom

a b c (Å): 4.5351 4.5351 13.6202
angles (deg): 90.00 90.00 90.00
Space group I4/mmm (No. 139)
Asymmetric unit:
Cs: 0.0000 0.0000 0.0000 x2
Ge: 0.0000 0.5000 0.2500 x4
Pt: 0.0000 0.0000 0.3270 x4


## Bi2Sb2Br (PBE)

Data for an optimized crystal structure of Bi2Sb2Br.

Summary:
Density   8.0 g cm⁻³
ΔE_f (raw)   0.029 eV/atom
Polymorph energy (0 for the lowest one)   67 kJ/mol of formula units
Raw total energy   -3.507 eV/atom

a b c (Å): 8.9307 8.9307 3.8761
angles (deg): 90.00 90.00 90.00
Space group P4/mbm (No. 127)
Asymmetric unit:
Bi: 0.1445 0.3555 0.0000 x4
Sb: 0.1420 0.6420 0.5000 x4
Br: 0.0000 0.0000 0.5000 x2


## TbHPt (PBE)

Data for an optimized crystal structure of TbHPt.

Summary:
Density   12.5 g cm⁻³
Polymorph energy (0 for the lowest one)   0 kJ/mol of formula units
Raw total energy   -5.555 eV/atom

a b c (Å): 3.7994 10.5924 4.7060
angles (deg): 90.00 90.00 90.00
Space group Cmcm (No. 63)
Asymmetric unit:
Tb: 0.0000 0.1370 0.2500 x4
H: 0.0000 0.1001 0.7500 x4
Pt: 0.0000 0.4111 0.2500 x4


## ZnH (PBE)

Data for an optimized crystal structure of ZnH.

Summary:
Density   3.8 g cm⁻³
Raw total energy   -2.091 eV/atom

a b c (Å): 9.1771 9.1771 2.7317
angles (deg): 90.00 90.00 90.00
Space group I4/m (No. 87)
Asymmetric unit:
Zn: 0.1595 0.6734 0.0000 x8
H: 0.0137 0.6774 0.5000 x8


## FeOs3 (PBE)

Data for an optimized crystal structure of FeOs3.

Summary:
Density   19.3 g cm⁻³
DFT formation energy   0.045 eV/atom
Raw total energy   -10.493 eV/atom

a b c (Å): 2.7125 4.2448 4.6813
angles (deg): 90.00 90.00 90.00
Space group Pmm2 (No. 25)
Asymmetric unit:
Fe: 0.0000 0.0000 0.0000 x1
Os: 0.0000 0.5000 0.3284 x1
Os: 0.5000 0.0000 0.5109 x1
Os: 0.5000 0.5000 0.8490 x1